[1]
DyGa4Pd2Rh after structural relaxation, computed with PBE-GGA.

Output
Its symmetry is No. 166. The magnetic moment is 0.00 μB/atom. The value obtained for the formation energy is -5.24 eV/f.u.

a = 4.279 Å, b = 4.279 Å, c = 8.977 Å
α = 76.21°, β = 76.21°, γ = 60.00°
Fractional coordinates of all 8 atoms:
Dy: 0.000 0.000 0.000
Ga: 0.398 0.398 0.806
Ga: 0.868 0.868 0.397
Ga: 0.132 0.132 0.603
Ga: 0.602 0.602 0.194
Pd: 0.762 0.762 0.715
Pd: 0.238 0.238 0.285
Rh: 0.500 0.500 0.500


[2]
DyGa3PdRh after structural relaxation, computed with PBE-GGA.

Output
Its symmetry is No. 63. The magnetic moment is 0.00 μB/atom. The value obtained for the formation energy is -3.08 eV/f.u.

a = 5.276 Å, b = 8.284 Å, c = 6.861 Å
α = 127.13°, β = 90.00°, γ = 90.00°
Fractional coordinates of all 12 atoms:
Dy: 0.750 0.305 0.611
Dy: 0.250 0.695 0.389
Ga: 0.250 0.171 0.342
Ga: 0.000 0.250 0.000
Ga: 0.500 0.750 0.000
Ga: 0.500 0.250 0.000
Ga: 0.000 0.750 0.000
Ga: 0.750 0.829 0.658
Pd: 0.250 0.415 0.830
Pd: 0.750 0.585 0.170
Rh: 0.250 0.934 0.868
Rh: 0.750 0.066 0.132


[3]
DyGaPdRu after structural relaxation, computed with PBE-GGA.

Output
Its symmetry is No. 216. The magnetic moment is 0.00 μB/atom. The value obtained for the formation energy is -2.22 eV/f.u.

a = 4.600 Å, b = 4.600 Å, c = 4.600 Å
α = 60.00°, β = 60.00°, γ = 60.00°
Fractional coordinates of all 4 atoms:
Ru: 0.000 0.000 0.000
Ga: 0.750 0.750 0.750
Pd: 0.500 0.500 0.500
Dy: 0.250 0.250 0.250


[4]
Dy4GaPdRu2 after structural relaxation, computed with PBE-GGA.

Output
Its symmetry is No. 166. The magnetic moment is 0.00 μB/atom. The value obtained for the formation energy is -4.34 eV/f.u.

a = 4.902 Å, b = 4.902 Å, c = 8.517 Å
α = 73.28°, β = 73.28°, γ = 60.00°
Fractional coordinates of all 8 atoms:
Dy: 0.377 0.377 0.869
Dy: 0.873 0.873 0.380
Dy: 0.127 0.127 0.620
Dy: 0.623 0.623 0.131
Ga: 0.000 0.000 0.000
Pd: 0.500 0.500 0.500
Ru: 0.749 0.749 0.754
Ru: 0.251 0.251 0.246


[5]
DyGa4Pd2Ru after structural relaxation, computed with PBE-GGA.

Output
Its symmetry is No. 166. The magnetic moment is 0.00 μB/atom. The value obtained for the formation energy is -4.61 eV/f.u.

a = 4.264 Å, b = 4.264 Å, c = 9.005 Å
α = 76.31°, β = 76.31°, γ = 60.00°
Fractional coordinates of all 8 atoms:
Dy: 0.000 0.000 0.000
Ga: 0.398 0.398 0.805
Ga: 0.867 0.867 0.400
Ga: 0.133 0.133 0.600
Ga: 0.602 0.602 0.195
Pd: 0.762 0.762 0.715
Pd: 0.238 0.238 0.285
Ru: 0.500 0.500 0.500


[6]
DyScGaPd after structural relaxation, computed with PBE-GGA.

Output
Its symmetry is No. 216. The magnetic moment is 0.00 μB/atom. The value obtained for the formation energy is -2.82 eV/f.u. The calculation puts the energy above the most stable polymorph in this dataset at 29 meV/atom.

a = 4.880 Å, b = 4.880 Å, c = 4.880 Å
α = 60.00°, β = 60.00°, γ = 60.00°
Fractional coordinates of all 4 atoms:
Sc: 0.750 0.750 0.750
Ga: 0.000 0.000 0.000
Pd: 0.500 0.500 0.500
Dy: 0.250 0.250 0.250


[7]
DyScGa2Pd2 after structural relaxation, computed with PBE-GGA.

Output
Its symmetry is No. 164. The magnetic moment is 0.00 μB/atom. The value obtained for the formation energy is -5.18 eV/f.u.

a = 4.461 Å, b = 4.461 Å, c = 6.538 Å
α = 90.00°, β = 90.00°, γ = 120.00°
Fractional coordinates of all 6 atoms:
Dy: 0.000 0.000 0.000
Sc: 0.000 0.000 0.500
Ga: 0.333 0.667 0.720
Ga: 0.667 0.333 0.280
Pd: 0.333 0.667 0.277
Pd: 0.667 0.333 0.723


[8]
DyScGaPd after structural relaxation, computed with PBE-GGA.

Output
Its symmetry is No. 38. The magnetic moment is 0.00 μB/atom. The value obtained for the formation energy is -2.93 eV/f.u. The calculation puts the energy above the most stable polymorph in this dataset at 0 meV/atom.

a = 3.571 Å, b = 4.357 Å, c = 5.757 Å
α = 90.00°, β = 108.07°, γ = 90.00°
Fractional coordinates of all 4 atoms:
Dy: 0.852 0.500 0.704
Sc: 0.137 0.000 0.274
Ga: 0.582 0.500 0.164
Pd: 0.429 0.000 0.857


[9]
Dy2ScGa4Pd3 after structural relaxation, computed with PBE-GGA.

Output
Its symmetry is No. 115. The magnetic moment is 0.00 μB/atom. The value obtained for the formation energy is -7.39 eV/f.u.

a = 4.001 Å, b = 4.001 Å, c = 12.154 Å
α = 90.00°, β = 90.00°, γ = 90.00°
Fractional coordinates of all 10 atoms:
Dy: 0.500 0.000 0.236
Dy: 0.000 0.500 0.764
Sc: 0.500 0.500 0.500
Ga: 0.500 0.500 0.000
Ga: 0.000 0.000 0.000
Ga: 0.500 0.000 0.656
Ga: 0.000 0.500 0.344
Pd: 0.000 0.000 0.500
Pd: 0.500 0.000 0.862
Pd: 0.000 0.500 0.138


[10]
DySc2GaPd4 after structural relaxation, computed with PBE-GGA.

Output
Its symmetry is No. 166. The magnetic moment is 0.00 μB/atom. The value obtained for the formation energy is -6.66 eV/f.u.

a = 4.644 Å, b = 4.644 Å, c = 8.272 Å
α = 73.70°, β = 73.70°, γ = 60.00°
Fractional coordinates of all 8 atoms:
Dy: 0.000 0.000 0.000
Sc: 0.757 0.757 0.728
Sc: 0.243 0.243 0.272
Ga: 0.500 0.500 0.500
Pd: 0.389 0.389 0.834
Pd: 0.874 0.874 0.379
Pd: 0.126 0.126 0.621
Pd: 0.611 0.611 0.166


[11]
DyGa2SiPd4 after structural relaxation, computed with PBE-GGA.

Output
Its symmetry is No. 166. The magnetic moment is 0.00 μB/atom. The formation energy without anion corrections is -0.69 eV per atom.

a = 4.342 Å, b = 4.342 Å, c = 8.649 Å
α = 75.46°, β = 75.46°, γ = 60.00°
Fractional coordinates of all 8 atoms:
Dy: 0.000 0.000 0.000
Ga: 0.747 0.747 0.760
Ga: 0.253 0.253 0.240
Si: 0.500 0.500 0.500
Pd: 0.404 0.404 0.789
Pd: 0.863 0.863 0.410
Pd: 0.137 0.137 0.590
Pd: 0.596 0.596 0.211


[12]
SmDyGa2Pd5 after structural relaxation, computed with PBE-GGA.

Output
Its symmetry is No. 123. The magnetic moment is 0.00 μB/atom. The value obtained for the formation energy is -7.16 eV/f.u.

a = 4.231 Å, b = 4.231 Å, c = 9.273 Å
α = 90.00°, β = 90.00°, γ = 90.00°
Fractional coordinates of all 9 atoms:
Sm: 0.000 0.000 0.500
Dy: 0.000 0.000 0.000
Ga: 0.500 0.500 0.134
Ga: 0.500 0.500 0.866
Pd: 0.000 0.500 0.274
Pd: 0.500 0.000 0.274
Pd: 0.000 0.500 0.726
Pd: 0.500 0.000 0.726
Pd: 0.500 0.500 0.500